No. 1
The following is a GGA+U calculation of NaAc3Co2O8 after structural relaxation, from Alexandria.

Its total energy is -6.6664 eV per atom. For the calculated density, the calculation gives 7.60 g/cm³. The crystal system is trigonal.

The space group is P-3m1 (No. 164) and the conventional cell measures 5.7155, 5.7155 and 7.3326 Å, with angles of 90.00, 90.00 and 120.00 degrees. The asymmetric unit holds Na at (0.0000, 0.0000, 0.0000), Ac at (0.0000, 0.0000, 0.5000), Ac at (0.3333, 0.6667, 0.1370), Co at (0.3333, 0.6667, 0.6889), O at (0.1668, 0.3336, 0.8010) and O at (0.3333, 0.6667, 0.4424).

***

No. 2
The following is a GGA+U calculation of NaAc2Co2O6 after structural relaxation, from Alexandria.

Its total energy is -6.3396 eV per atom. For the calculated density, the calculation gives 6.55 g/cm³. The crystal system is trigonal.

The space group is R-3m (No. 166, hexagonal axes) and the conventional cell measures 5.8890, 5.8890 and 17.4912 Å, with angles of 90.00, 90.00 and 120.00 degrees. The asymmetric unit holds Na at (0.0000, 0.0000, 0.0000), Ac at (0.0000, 0.0000, 0.2061), Co at (0.0000, 0.0000, 0.4208) and O at (0.0170, 0.5085, 0.7648).

***

No. 3
The following is a GGA+U calculation of Na4Ac3CoO8 after structural relaxation, from Alexandria.

Its total energy is -6.0018 eV per atom. For the calculated density, the calculation gives 5.82 g/cm³. The crystal system is monoclinic.

The space group is C2/m (No. 12) and the conventional cell measures 13.049, 7.067 and 6.813 Å, with angles of 90.00, 119.35 and 90.00 degrees. The asymmetric unit holds Na at (0.000, 0.000, 0.000), Na at (0.000, 0.500, 0.000), Na at (0.250, 0.250, 0.500), Ac at (0.000, 0.000, 0.500), Ac at (0.250, 0.250, 0.000), Co at (0.000, 0.500, 0.500), O at (0.027, 0.303, 0.723), O at (0.198, 0.000, 0.187) and O at (0.220, 0.000, 0.718).

***

No. 4
The following is a GGA+U calculation of NaAc2CoO5 after structural relaxation, from Alexandria.

Its total energy is -6.6964 eV per atom. For the calculated density, the calculation gives 7.00 g/cm³. The crystal system is tetragonal.

The space group is P4/mbm (No. 127) and the conventional cell measures 7.168, 7.168 and 5.683 Å, with angles of 90.00, 90.00 and 90.00 degrees. The asymmetric unit holds Na at (0.000, 0.000, 0.000), Ac at (0.181, 0.319, 0.500), Co at (0.000, 0.500, 0.000), O at (0.000, 0.000, 0.500) and O at (0.127, 0.627, 0.232).

***

No. 5
The following is a GGA+U calculation of NaAcCoO4 after structural relaxation, from Alexandria.

Its total energy is -6.2037 eV per atom. For the calculated density, the calculation gives 4.72 g/cm³. The crystal system is monoclinic.

The space group is P2_1/m (No. 11) and the conventional cell measures 6.403, 5.731 and 7.192 Å, with angles of 90.00, 95.87 and 90.00 degrees. The asymmetric unit holds Na at (0.091, 0.250, 0.148), Ac at (0.310, 0.250, 0.600), Co at (0.179, 0.750, 0.336), O at (0.048, 0.250, 0.831), O at (0.084, 0.750, 0.562) and O at (0.355, 0.505, 0.323).

***

No. 6
The following is a GGA+U calculation of Na3Ac2CoO6 after structural relaxation, from Alexandria.

Its total energy is -5.9125 eV per atom. For the calculated density, the calculation gives 6.08 g/cm³. The crystal system is monoclinic.

The space group is C2/m (No. 12) and the conventional cell measures 6.147, 10.734 and 5.923 Å, with angles of 90.00, 108.63 and 90.00 degrees. The asymmetric unit holds Na at (0.000, 0.000, 0.000), Na at (0.000, 0.357, 0.000), Ac at (0.000, 0.171, 0.500), Co at (0.000, 0.500, 0.500), O at (0.207, 0.500, 0.310) and O at (0.227, 0.347, 0.729).

***

No. 7
The following is a GGA+U calculation of NaAc2CoO4 after structural relaxation, from Alexandria.

Its total energy is -6.5426 eV per atom. For the calculated density, the calculation gives 8.37 g/cm³. The crystal system is tetragonal.

The space group is I4/mmm (No. 139) and the conventional cell measures 5.863, 5.863 and 6.922 Å, with angles of 90.00, 90.00 and 90.00 degrees. The asymmetric unit holds Na at (0.000, 0.000, 0.000), Ac at (0.000, 0.500, 0.250), Co at (0.000, 0.000, 0.500) and O at (0.235, 0.235, 0.500).

***

No. 8
The following is a GGA+U calculation of Na2Ac2CoO6 after structural relaxation, from Alexandria.

Its total energy is -5.9222 eV per atom. For the calculated density, the calculation gives 6.69 g/cm³. The crystal system is trigonal.

The space group is R-3m (No. 166, hexagonal axes) and the conventional cell measures 6.1927, 6.1927 and 14.6750 Å, with angles of 90.00, 90.00 and 120.00 degrees. The asymmetric unit holds Na at (0.0000, 0.0000, 0.0805), Ac at (0.0000, 0.0000, 0.2900), Co at (0.0000, 0.0000, 0.5000) and O at (0.0554, 0.5277, 0.2491).

***

No. 9
The following is a GGA+U calculation of Na2AcCoO4 after structural relaxation, from Alexandria.

Its total energy is -5.7675 eV per atom. For the calculated density, the calculation gives 5.90 g/cm³. The crystal system is tetragonal.

The space group is I-4 (No. 82) and the conventional cell measures 5.802, 5.802 and 6.624 Å, with angles of 90.00, 90.00 and 90.00 degrees. The asymmetric unit holds Na at (0.000, 0.000, 0.000), Na at (0.000, 0.500, 0.250), Ac at (0.000, 0.500, 0.750), Co at (0.000, 0.000, 0.500) and O at (0.223, 0.225, 0.498).

***

No. 10
The following is a GGA+U calculation of Na3Ac3CoO8 after structural relaxation, from Alexandria.

Its total energy is -6.1408 eV per atom. For the calculated density, the calculation gives 6.11 g/cm³. The crystal system is trigonal.

The space group is R-3m (No. 166, hexagonal axes) and the conventional cell measures 7.2600, 7.2600 and 16.7278 Å, with angles of 90.00, 90.00 and 120.00 degrees. The asymmetric unit holds Na at (0.0000, 0.5000, 0.0000), Ac at (0.0000, 0.5000, 0.5000), Co at (0.0000, 0.0000, 0.5000), O at (0.0000, 0.0000, 0.2433) and O at (0.0514, 0.5257, 0.2332).